Compound: CsTiNb2
Source: Alexandria
Functional: PBE
Structure: relaxed

Calculated values
As for the polymorph energy (0 for the lowest one): 115 meV/atom. Its theoretical density is 5.54 g cm⁻³. Its energy of formation from the pure elements is 6.8 eV/f.u. The magnetic moment comes out at 0.000 μB/f.u.

Unit cell a=4.7551 b=4.7551 c=19.4469 alpha=90.00 beta=90.00 gamma=90.00
Closest atoms and distances in Å follow each position.
Space group I-42d (No. 122)
One atom of each set of equivalent atoms:
Cs  0.0000  0.0000  0.0000  4 Nb 3.28, 4 Ti 3.36
Ti  0.0000  0.0000  0.5000  4 Nb 2.76
Nb  0.1111  0.2500  0.6250  2 Nb 2.60, 2 Ti 2.76